Record 1
Material: ScIn3P4
Method: DFT, PBE-GGA
State: relaxed

The structure in extended XYZ format:
```
8
Lattice="4.2114 0.0000 0.0000 0.0000 4.2114 0.0000 0.0000 0.0000 11.8838" Properties=species:S:1:pos:R:3 pbc="T T T"
Sc 0.0000 0.0000 0.0000
In 2.1057 2.1057 8.9191
In 0.0000 0.0000 5.9419
In 2.1057 2.1057 2.9647
P 0.0000 2.1057 7.4263
P 2.1057 0.0000 4.4575
P 0.0000 2.1057 1.4657
P 2.1057 0.0000 10.4181
```

Results
Crystal system ... tetragonal
ΔH_f (0 K) ... -0.384 eV/atom
E_tot ... -39.3 eV per cell
Space group ... P-4m2 (115)

Record 2
Material: ZrSbPt4
Method: DFT, PBE-GGA
State: relaxed

The structure in extended XYZ format:
```
6
Lattice="0.3838 -2.9612 4.4614 -3.7228 -3.7122 1.0863 1.2306 -5.2146 -0.3371" Properties=species:S:1:pos:R:3 pbc="T T T"
Zr 0.0000 0.0000 0.0000
Sb -1.5813 -8.9160 3.9079
Pt -2.6578 -6.3154 2.4967
Pt -0.5971 -5.9386 4.1903
Pt -0.1722 -7.0693 1.7825
Pt -0.7897 -4.4527 1.9516
```

Results
Crystal system ... cubic
ΔE_f (raw) ... -2.683 eV/f.u.
E_tot ... -39.5 eV per cell
Space group ... F-43m (216)

Record 3
Material: Ac2Al2Zn5
Method: DFT, PBE-GGA
State: relaxed

The structure in extended XYZ format:
```
9
Lattice="4.5920 0.0000 0.0000 0.0000 4.5920 0.0000 0.0000 0.0000 9.8122" Properties=species:S:1:pos:R:3 pbc="T T T"
Ac 0.0000 0.0000 0.0000
Ac 0.0000 0.0000 4.9061
Al 2.2960 2.2960 1.3286
Al 2.2960 2.2960 8.4837
Zn 2.2960 0.0000 2.5870
Zn 2.2960 0.0000 7.2253
Zn 0.0000 2.2960 2.5870
Zn 0.0000 2.2960 7.2253
Zn 2.2960 2.2960 4.9061
```

Results
Crystal system ... tetragonal
ΔH_f (0 K) ... -0.148 eV/atom
E_tot ... -23.4 eV per cell
Space group ... P4/mmm (123)

Record 4
Material: CuTcMo2
Method: DFT, PBE-GGA
State: relaxed

The structure in extended XYZ format:
```
4
Lattice="-1.3911 2.9354 -2.8475 -0.4868 -1.9186 -1.7400 -5.0519 -1.3778 1.0478" Properties=species:S:1:pos:R:3 pbc="T T T"
Cu -4.8496 -1.0046 -1.9430
Mo -5.0479 -1.4060 1.0168
Mo -2.7733 -1.6200 -0.3151
Tc -2.0802 0.6436 -1.5968
```

Results
Excess energy over the best structure of this formula in the dataset ... 52 meV per atom
Crystal system ... monoclinic
ΔH_f (0 K) ... 0.197 eV/atom
E_tot ... -35.3 eV per cell
Space group ... P2/m (10)

Record 5
Material: NdSm2Ga2Ag2
Method: DFT, PBE-GGA
State: relaxed

The structure in extended XYZ format:
```
7
Lattice="-2.8459 3.4838 -1.2825 -2.2331 -0.1953 -4.1056 -8.7059 -3.1541 2.2205" Properties=species:S:1:pos:R:3 pbc="T T T"
Nd 0.0000 0.0000 0.0000
Sm -6.0534 -1.5465 0.7013
Sm -7.7315 1.6809 -3.8690
Ga -10.5154 -0.0063 -2.2746
Ga -3.2696 0.1407 -0.8931
Ag -4.7979 1.3366 -2.7835
Ag -8.9870 -1.2022 -0.3842
```

Results
Crystal system ... trigonal
ΔH_f (0 K) ... -0.376 eV/atom
E_tot ... -28.6 eV per cell
Space group ... R-3m (166)

Record 6
Material: Ni5I12Br3
Method: DFT, PBE-GGA
State: relaxed

The structure in extended XYZ format:
```
80
Lattice="-14.7556 3.2275 -0.4051 3.4534 -9.2289 -11.4547 3.3179 -6.7669 13.0961" Properties=species:S:1:pos:R:3 pbc="T T T"
Br -9.3569 -1.8861 -2.9623
Br -9.9064 -4.9435 -7.3084
Br -0.8696 -9.9407 -0.5579
Br -2.0130 -2.8843 3.3779
Br -11.6500 -0.0213 1.4878
Br -2.5455 -6.2495 -4.0371
Br -5.4388 -6.5189 5.2734
Br 3.6657 -12.7470 -0.2514
Br -5.9713 -9.8840 -2.1416
Br -7.1147 -2.8277 1.7942
Br 1.9221 -7.8249 8.5448
Br 1.3726 -10.8822 4.1986
Ni 0.2800 -4.7491 -1.0721
Ni 1.7267 -4.6144 -5.7273
Ni 0.0000 0.0000 0.0000
Ni -4.2553 -1.9428 -1.3786
Ni -5.7188 -1.7697 6.3455
Ni -5.6511 -3.0007 -5.9299
Ni 1.9898 -9.0558 -3.7306
Ni -7.7318 -4.6541 9.7234
Ni -7.6641 -5.8850 -2.5519
Ni -2.6132 -5.0185 8.2383
Ni -5.3711 -7.7498 -7.0020
Ni -3.9921 -6.3842 0.6182
Ni -7.3778 1.6137 -0.2025
Ni 1.6590 -3.3835 6.5480
Ni -0.3202 -6.8833 3.7883
Ni -0.2525 -8.1142 -8.4871
Ni 3.3856 -7.9979 0.8207
Ni -9.9741 -3.7125 4.9670
Ni -3.7290 -10.8255 2.6149
Ni -8.2643 -8.0192 2.3085
I -9.6344 1.1012 -1.5837
I -1.7311 -6.2076 -0.8376
I -12.3378 -2.4748 -0.6120
I -6.4012 -0.8392 -0.7432
I -3.7182 -9.0545 0.8571
I -12.0052 -3.6592 -5.1068
I -0.4694 -9.4730 -3.8017
I 1.9309 -9.0613 -9.2373
I -3.3720 -11.8136 -2.7910
I -7.5073 -4.2138 -4.3983
I -9.0978 -4.5399 -1.0151
I -9.0570 -5.5368 -10.4434
I 2.2922 -9.3061 -1.2663
I -4.1085 -2.7535 -3.7339
I 3.3861 -10.5575 -5.1526
I -3.9922 -3.8306 6.5313
I 0.2736 -2.6643 0.2991
I -4.6188 -5.4302 -6.4726
I -7.8313 -8.1472 -6.8763
I 0.1599 -4.4224 -3.5430
I 0.5111 -13.5131 -0.8543
I -5.4901 -6.6619 -1.6048
I -8.5612 -8.1246 -3.1895
I -7.8703 -6.6588 8.2440
I -2.4942 -6.1064 2.8412
I 0.5769 -4.6438 4.4259
I -0.1140 -6.1095 -7.0077
I -0.1529 -4.6211 8.1127
I -8.4954 0.7448 2.0906
I -8.1442 -8.3460 4.7794
I -3.3655 -7.3381 7.7089
I -3.9921 -8.9377 -5.2950
I -8.2579 -10.1040 0.9373
I -11.3703 -2.2108 6.3890
I -10.2765 -3.4622 2.5027
I 1.0727 -7.2316 11.6797
I -3.8758 -10.0148 4.9703
I -4.6123 -0.9547 4.0273
I -0.4770 -8.5545 5.6347
I 1.1135 -8.2284 2.2514
I -9.9152 -3.7070 10.4736
I -7.5149 -3.2954 5.0381
I -1.5831 -11.9292 1.9796
I 4.0209 -9.1091 6.3432
I -4.2661 -3.7138 0.3793
I 4.3536 -10.2935 1.8483
I -6.2532 -6.5608 2.0739
I 1.6502 -13.8696 2.8201
```

Results
Crystal system ... cubic
ΔE_f (raw) ... 2.678 eV/f.u.
E_tot ... -199.4 eV per cell
Space group ... Ia-3d (230)

Record 7
Material: MgAgPt2
Method: DFT, PBE-GGA
State: relaxed

The structure in extended XYZ format:
```
4
Lattice="-1.4802 -3.5171 3.1291 1.0929 -2.5618 4.0737 -2.2333 2.6040 3.4501" Properties=species:S:1:pos:R:3 pbc="T T T"
Ag -1.9654 -2.6061 7.9896
Mg -0.6551 -0.8687 2.6632
Pt -0.3951 -6.0327 7.1772
Pt -1.3025 -1.7836 5.3520
```

Results
Crystal system ... monoclinic
ΔH_f (0 K) ... -0.385 eV/atom
E_tot ... -18.1 eV per cell
Space group ... C2/m (12)

Record 8
Material: Tb2SmCu2Ge2
Method: DFT, PBE-GGA
State: relaxed

The structure in extended XYZ format:
```
7
Lattice="4.2892 0.0000 0.0000 2.1446 3.7145 0.0000 2.1446 1.2382 9.5869" Properties=species:S:1:pos:R:3 pbc="T T T"
Tb 2.1446 1.2382 5.9740
Tb 6.4338 3.7145 3.6129
Sm 0.0000 0.0000 0.0000
Cu 4.2892 2.4764 1.9164
Cu 4.2892 2.4764 7.6704
Ge 6.4338 3.7145 7.5973
Ge 2.1446 1.2382 1.9896
```

Results
Crystal system ... trigonal
ΔH_f (0 K) ... -0.497 eV/atom
E_tot ... -34.9 eV per cell
Space group ... R-3m (166)

Record 9
Material: Ce2Th2Si4Pd
Method: DFT, PBE-GGA
State: relaxed

The structure in extended XYZ format:
```
9
Lattice="-5.2944 1.3251 -3.5124 1.0813 -6.3379 0.8862 -0.3284 2.0128 6.1615" Properties=species:S:1:pos:R:3 pbc="T T T"
Ce 0.5015 -2.8810 4.6945
Ce 0.2514 -1.4441 2.3531
Th -1.9183 -3.5877 0.4488
Th -2.6232 0.5877 3.0864
Si 0.7419 -4.3272 2.1564
Si -2.1732 -2.5967 3.5297
Si 0.0110 0.0021 4.8913
Si -2.3683 -0.4033 0.0055
Pd 0.0000 0.0000 0.0000
```

Results
Crystal system ... tetragonal
ΔE_f (raw) ... -3.175 eV/f.u.
E_tot ... -56.8 eV per cell
Space group ... I4/mmm (139)

Record 10
Material: SmYTm3
Method: DFT, PBE-GGA
State: relaxed

The structure in extended XYZ format:
```
10
Lattice="9.3437 -1.0722 -1.6256 -1.6426 5.8681 -1.3262 0.2155 -1.8053 6.4219" Properties=species:S:1:pos:R:3 pbc="T T T"
Sm 2.3609 2.5657 0.2485
Sm 4.8986 2.7719 2.6913
Y 5.7811 3.3461 -0.6637
Y 1.4784 1.9918 3.6036
Tm 0.5889 -1.3217 4.7075
Tm 7.4317 0.1936 2.8795
Tm 4.8986 0.0544 0.4862
Tm 4.0034 -0.5849 3.7794
Tm -0.1721 5.1444 0.0600
Tm 8.3134 0.7918 -0.4419
```

Results
Excess energy over the best structure of this formula in the dataset ... 0 meV per atom
Crystal system ... triclinic
ΔH_f (0 K) ... 0.005 eV/atom
E_tot ... -49.2 eV per cell
Space group ... P-1 (2)

Record 11
Material: CuNi3Ru
Method: DFT, PBE-GGA
State: relaxed

The structure in extended XYZ format:
```
5
Lattice="4.2163 0.0000 0.0000 0.0000 4.2163 0.0000 0.0000 0.0000 4.2163" Properties=species:S:1:pos:R:3 pbc="T T T"
Ru 2.1082 2.1082 2.1082
Cu 0.0000 0.0000 0.0000
Ni 0.0000 2.1082 0.0000
Ni 0.0000 0.0000 2.1082
Ni 2.1082 0.0000 0.0000
```

Results
Excess energy over the best structure of this formula in the dataset ... 0 meV per atom
Crystal system ... cubic
ΔH_f (0 K) ... 1.306 eV/atom
E_tot ... -24.2 eV per cell
Space group ... Pm-3m (221)

Record 12
Material: CsAl3Bi
Method: DFT, PBE-GGA
State: relaxed

The structure in extended XYZ format:
```
5
Lattice="-0.9915 5.2809 -2.3144 -4.3077 0.8825 3.8591 3.8325 2.3581 3.7388" Properties=species:S:1:pos:R:3 pbc="T T T"
Cs -0.7333 4.2608 2.6418
Bi 0.0000 0.0000 0.0000
Al -2.1539 0.4412 1.9295
Al 1.9163 1.1791 1.8694
Al -0.4957 2.6405 -1.1572
```

Results
Excess energy over the best structure of this formula in the dataset ... 0 meV per atom
Crystal system ... cubic
ΔH_f (0 K) ... 0.709 eV/atom
E_tot ... -12.4 eV per cell
Space group ... Pm-3m (221)

Record 13
Material: Dy5Mg2Ge4
Method: DFT, PBE-GGA
State: relaxed

The structure in extended XYZ format:
```
11
Lattice="4.1444 0.0000 0.0000 0.0000 7.1679 -0.5047 -2.0722 -2.8979 9.6555" Properties=species:S:1:pos:R:3 pbc="T T T"
Dy 0.0000 5.6950 2.6942
Dy 2.0722 -1.4250 6.4566
Dy 0.0000 1.9315 2.9586
Dy 2.0722 0.0000 0.0000
Dy 2.0722 2.3385 6.1923
Mg 2.0722 3.6976 1.1189
Mg 0.0000 0.5724 8.0320
Ge 2.0722 3.8744 3.7147
Ge 2.0722 2.1279 9.2986
Ge 0.0000 0.3956 5.4361
Ge 0.0000 2.1421 -0.1478
```

Results
Crystal system ... monoclinic
ΔH_f (0 K) ... -0.444 eV/atom
E_tot ... -49.6 eV per cell
Space group ... C2/m (12)

Record 14
Material: LiP4W
Method: DFT, PBE-GGA
State: relaxed

The structure in extended XYZ format:
```
6
Lattice="0.0000 3.4873 3.4873 3.4873 0.0000 3.4873 3.4873 3.4873 0.0000" Properties=species:S:1:pos:R:3 pbc="T T T"
Li 0.0000 0.0000 0.0000
P 2.6289 4.3456 4.3456
P 4.3456 4.3456 2.6289
P 4.3456 2.6289 4.3456
P 2.6289 2.6289 2.6289
W 5.2309 5.2309 5.2309
```

Results
Crystal system ... cubic
ΔH_f (0 K) ... 0.650 eV/atom
E_tot ... -32.6 eV per cell
Space group ... F-43m (216)

Record 15
Material: YTl2Zn2
Method: DFT, PBE-GGA
State: relaxed

The structure in extended XYZ format:
```
10
Lattice="7.8581 0.0000 0.0000 0.0000 7.8581 0.0000 0.0000 0.0000 3.7913" Properties=species:S:1:pos:R:3 pbc="T T T"
Y 0.0000 0.0000 0.0000
Y 3.9291 3.9291 0.0000
Tl 1.4486 5.3777 1.8957
Tl 5.3777 6.4095 1.8957
Tl 6.4095 2.4804 1.8957
Tl 2.4804 1.4486 1.8957
Zn 3.0191 6.9482 0.0000
Zn 6.9482 4.8390 0.0000
Zn 4.8390 0.9100 0.0000
Zn 0.9100 3.0191 0.0000
```

Results
Excess energy over the best structure of this formula in the dataset ... 11 meV per atom
Crystal system ... tetragonal
ΔH_f (0 K) ... -0.066 eV/atom
E_tot ... -28.2 eV per cell
Space group ... P4/mbm (127)

Record 16
Material: AlIn2Hg2
Method: DFT, PBE-GGA
State: relaxed

The structure in extended XYZ format:
```
10
Lattice="-5.3939 0.3401 4.9712 0.6973 -7.2025 1.2493 3.1950 0.9000 3.4051" Properties=species:S:1:pos:R:3 pbc="T T T"
Al 0.0000 0.0000 0.0000
Al -2.3483 -3.4312 3.1102
Hg -1.2901 -5.9956 2.7951
Hg -4.1250 -4.4007 5.0335
Hg -3.4066 -0.8668 3.4254
Hg -0.5716 -2.4617 1.1870
In 1.1805 -4.2700 3.3413
In -1.3952 -5.3528 6.0442
In -2.6821 -1.6925 6.2843
In -0.1064 -0.6096 3.5814
```

Results
Excess energy over the best structure of this formula in the dataset ... 0 meV per atom
Crystal system ... tetragonal
ΔH_f (0 K) ... 0.143 eV/atom
E_tot ... -18.2 eV per cell
Space group ... P4/mbm (127)

Record 17
Material: Zr8Sn2H3
Method: DFT, PBE-GGA
State: relaxed

The structure in extended XYZ format:
```
13
Lattice="-5.4514 0.9661 -1.3681 -1.7542 -2.6783 5.0988 2.0930 7.5883 1.1515" Properties=species:S:1:pos:R:3 pbc="T T T"
Zr -5.4625 0.6256 2.0038
Zr 0.3499 5.2505 2.8784
Zr -4.1627 3.3442 0.3245
Zr -0.9499 2.5320 4.5578
Zr -2.9847 5.1903 3.4874
Zr -2.1024 6.5375 0.9227
Zr -3.0102 -0.6613 3.9595
Zr -2.1279 0.6859 1.3948
Sn -1.3874 3.5957 1.4114
Sn -3.7252 2.2804 3.4708
H -2.7257 0.4830 -0.6840
H -0.4624 -0.7060 1.3440
H -1.2918 -1.9723 3.7548
```

Results
Crystal system ... monoclinic
E_tot ... -88.5 eV per cell
Space group ... C2/m (12)

Record 18
Material: Cs2AgAu2
Method: DFT, PBE-GGA
State: relaxed

The structure in extended XYZ format:
```
5
Lattice="0.3977 -0.9520 -5.0100 -2.1754 -5.2285 0.8208 -4.3614 5.1479 1.2868" Properties=species:S:1:pos:R:3 pbc="T T T"
Cs -3.1503 -1.8059 0.0930
Cs -2.9888 0.7734 -2.9955
Ag 0.0000 0.0000 0.0000
Au -5.7926 0.7539 -0.6031
Au -0.3465 -1.7864 -2.2993
```

Results
Excess energy over the best structure of this formula in the dataset ... 0 meV per atom
Crystal system ... orthorhombic
ΔH_f (0 K) ... -0.200 eV/atom
E_tot ... -12.1 eV per cell
Space group ... Immm (71)

Record 19
Material: Al5H
Method: DFT, PBE-GGA
State: relaxed

The structure in extended XYZ format:
```
6
Lattice="3.9682 0.0000 0.0000 0.0000 4.2073 0.0000 0.0000 -2.1037 5.5046" Properties=species:S:1:pos:R:3 pbc="T T T"
H 0.0000 0.0000 0.0000
Al 1.9841 2.1037 3.8867
Al 0.0000 2.1036 1.8332
Al 1.9841 2.1037 0.0000
Al 0.0000 0.0000 3.6714
Al 1.9841 0.0000 1.6179
```

Results
Crystal system ... orthorhombic
E_tot ... -20.3 eV per cell
Space group ... Cmmm (65)

Record 20
Material: Tb5DySc4
Method: DFT, PBE-GGA
State: relaxed

The structure in extended XYZ format:
```
20
Lattice="-1.6686 7.4993 -0.7611 -8.4918 -1.7637 1.2391 1.0300 1.1052 8.6319" Properties=species:S:1:pos:R:3 pbc="T T T"
Tb -6.3609 0.9719 7.8198
Tb -1.1363 2.0570 7.0574
Tb -4.2460 -0.8814 0.6195
Tb -6.9947 0.2919 2.5084
Tb -1.7701 1.3770 1.7460
Tb -6.8966 5.1145 2.9052
Tb -3.6294 5.7931 2.4284
Tb -1.1535 8.0515 3.5549
Tb -3.2332 6.2182 5.7489
Tb -6.5004 5.5396 6.2257
Dy -1.4630 6.5754 -0.6673
Dy -3.9365 0.5947 4.8417
Sc -0.2247 5.2041 5.8669
Sc -7.1843 3.1079 0.4594
Sc -3.2641 3.9221 -0.1127
Sc -0.7014 4.6928 1.8727
Sc -4.6981 2.4773 2.3017
Sc -6.7070 2.2985 4.9542
Sc -2.1354 3.2480 4.2871
Sc -4.1447 3.0711 6.9394
```

Results
Excess energy over the best structure of this formula in the dataset ... 120 meV per atom
Crystal system ... tetragonal
ΔH_f (0 K) ... 0.166 eV/atom
E_tot ... -102.8 eV per cell
Space group ... P4/nmm (129)

Record 21
Material: LiGeO3
Method: DFT, PBE-GGA
State: relaxed

The structure in extended XYZ format:
```
5
Lattice="3.6850 0.0000 0.0000 0.0000 3.6850 0.0000 0.0000 0.0000 3.6850" Properties=species:S:1:pos:R:3 pbc="T T T"
Ge 0.0000 0.0000 0.0000
O 0.0000 1.8425 0.0000
O 0.0000 0.0000 1.8425
O 1.8425 0.0000 0.0000
Li 1.8425 1.8425 1.8425
```

Results
Crystal system ... cubic
ΔE_f (raw) ... -6.217 eV/f.u.
E_tot ... -27.6 eV per cell
Space group ... Pm-3m (221)